Record 1
Here is PmNdEr4S8 after structural relaxation from Alexandria. Energies are from PBE-GGA.

a b c (Å): 8.118 8.118 8.118
angles (deg): 59.44 59.44 59.44
Positions (direct):
Pm 0.000 0.000 0.000
Nd 0.374 0.374 0.374
Er 0.000 0.000 0.503
Er 0.000 0.503 0.000
Er 0.503 0.000 0.000
Er 0.626 0.626 0.626
S 0.233 0.751 0.751
S 0.238 0.238 0.238
S 0.246 0.246 0.782
S 0.246 0.782 0.246
S 0.751 0.233 0.751
S 0.751 0.751 0.233
S 0.758 0.758 0.758
S 0.782 0.246 0.246

Output
N(E_F) (states/eV per cell): 7.88
Final energy (eV per atom): -6.260
Magnetic moment (μB/f.u.): 0.00


Record 2
Here is ErCrB2 after structural relaxation from Alexandria. Energies are from PBE-GGA.

a b c (Å): 5.137 5.137 5.137
angles (deg): 40.26 40.26 40.26
Positions (direct):
Er 0.000 0.000 0.000
Cr 0.500 0.500 0.500
B 0.208 0.208 0.208
B 0.792 0.792 0.792

Output
Formation enthalpy at 0 K (eV per formula unit): -0.2
N(E_F) (states/eV per cell): 2.67
Magnetic moment (μB/f.u.): 1.39


Record 3
Here is KGeBr3 after structural relaxation from Alexandria. Energies are from PBE-GGA.

a b c (Å): 8.971 8.971 10.460
angles (deg): 98.86 98.86 108.26
Positions (direct):
K 0.084 0.916 0.750
K 0.287 0.713 0.250
K 0.713 0.287 0.750
K 0.916 0.084 0.250
Ge 0.247 0.443 0.704
Ge 0.443 0.247 0.204
Ge 0.557 0.753 0.796
Ge 0.753 0.557 0.296
Br 0.008 0.794 0.406
Br 0.120 0.571 0.866
Br 0.206 0.992 0.094
Br 0.295 0.370 0.350
Br 0.370 0.295 0.850
Br 0.429 0.880 0.634
Br 0.571 0.120 0.366
Br 0.630 0.705 0.150
Br 0.705 0.630 0.650
Br 0.794 0.008 0.906
Br 0.880 0.429 0.134
Br 0.992 0.206 0.594

Output
N(E_F) (states/eV per cell): 0.00
Final energy (eV per atom): -3.201
Magnetic moment (μB/f.u.): 0.00


Record 4
Here is Rb3RhI6 after structural relaxation from Alexandria. Energies are from PBE-GGA.

a b c (Å): 9.616 8.825 8.265
angles (deg): 68.39 58.57 53.04
Positions (direct):
Rb 0.000 0.000 0.000
Rb 0.250 0.250 0.250
Rb 0.750 0.750 0.750
Rh 0.500 0.500 0.500
I 0.181 0.553 0.819
I 0.288 0.712 0.288
I 0.447 0.819 0.553
I 0.553 0.181 0.447
I 0.712 0.288 0.712
I 0.819 0.447 0.181

Output
Magnetic moment (μB/f.u.): 0.00
ΔE to the lowest computed polymorph (kJ/mol of formula units): 0


Record 5
Here is LiYCo after structural relaxation from Alexandria. Energies are from PBE-GGA.

a b c (Å): 6.522 6.522 5.126
angles (deg): 98.17 98.17 34.43
Positions (direct):
Li 0.086 0.086 0.315
Li 0.914 0.914 0.685
Y 0.364 0.364 0.148
Y 0.636 0.636 0.852
Co 0.263 0.263 0.609
Co 0.737 0.737 0.391

Output
Formation enthalpy at 0 K (eV per formula unit): 0.0
N(E_F) (states/eV per cell): 5.25
Magnetic moment (μB/f.u.): 0.58
ΔE to the lowest computed polymorph (kJ/mol of formula units): 0


| no. | calculated density (g/cm3) |
| --- | --- |
| 1 | 5.40 |
| 2 | 7.84 |
| 3 | 3.03 |
| 4 | 3.90 |
| 5 | 4.22 |